The following is a PBE-GGA calculation of NbGaAs after structural relaxation, from the Open Quantum Materials Database.

The calculated volume comes out at 199.56 Å³ per cell. The magnetization comes out at 0.00 μB per formula unit. Its electronic total energy is -6.274 eV per atom. The energy above the most stable polymorph in this dataset comes out at 0 meV/atom.

The space group is Pnma (No. 62) and the conventional cell measures 6.8199, 3.4000 and 8.6064 Å, with angles of 90.00, 90.00 and 90.00 degrees. The asymmetric unit holds Nb at (0.1262, 0.2500, 0.2392), Ga at (0.1173, 0.2500, 0.5775) and As at (0.1387, 0.2500, 0.9040).

The following is a PBE-GGA calculation of NbGaAs after structural relaxation, from the Open Quantum Materials Database.

The calculated volume comes out at 199.86 Å³ per cell. The magnetization comes out at 0.00 μB per formula unit. Its electronic total energy is -6.274 eV per atom. The energy above the most stable polymorph in this dataset comes out at 0 meV/atom.

The space group is Pnma (No. 62) and the conventional cell measures 6.8222, 3.4007 and 8.6145 Å, with angles of 90.00, 90.00 and 90.00 degrees. The asymmetric unit holds Nb at (0.1262, 0.2500, 0.2392), Ga at (0.1174, 0.2500, 0.5774) and As at (0.1387, 0.2500, 0.9037).

The following is a PBE-GGA calculation of NbGaAs after structural relaxation, from the Open Quantum Materials Database.

The calculated volume comes out at 245.30 Å³ per cell. The magnetization comes out at 0.01 μB per formula unit. Its electronic total energy is -5.685 eV per atom. The energy above the most stable polymorph in this dataset comes out at 590 meV/atom.

The space group is F-43m (No. 216) and the conventional cell measures 6.2598, 6.2598 and 6.2598 Å, with angles of 90.00, 90.00 and 90.00 degrees. The asymmetric unit holds Nb at (0.0000, 0.0000, 0.0000), Ga at (0.2500, 0.2500, 0.2500) and As at (0.2500, 0.2500, 0.7500).

The following is a PBE-GGA calculation of Nd3GaAs after structural relaxation, from the Open Quantum Materials Database.

The calculated volume comes out at 601.85 Å³ per cell. The magnetization comes out at 0.72 μB per formula unit. Its electronic total energy is -5.159 eV per atom.

The space group is Cmcm (No. 63) and the conventional cell measures 4.2032, 13.0851 and 10.9427 Å, with angles of 90.00, 90.00 and 90.00 degrees. The asymmetric unit holds Nd at (0.0000, 0.0780, 0.2500), Nd at (0.0000, 0.3559, 0.0754), Ga at (0.0000, 0.2494, 0.7500) and As at (0.0000, 0.0000, 0.0000).

The following is a PBE-GGA calculation of GaNiAs2 after structural relaxation, from the Open Quantum Materials Database.

The calculated volume comes out at 260.05 Å³ per cell. The magnetization comes out at 0.00 μB per formula unit. Its electronic total energy is -4.183 eV per atom.

The space group is F-43m (No. 216) and the conventional cell measures 6.3829, 6.3829 and 6.3829 Å, with angles of 90.00, 90.00 and 90.00 degrees. The asymmetric unit holds Ga at (0.0000, 0.0000, 0.0000), Ni at (0.2500, 0.2500, 0.7500), As at (0.0000, 0.0000, 0.5000) and As at (0.2500, 0.2500, 0.2500).

The following is a PBE-GGA calculation of GaNiAs after structural relaxation, from the Open Quantum Materials Database.

The calculated volume comes out at 190.37 Å³ per cell. The magnetization comes out at 0.00 μB per formula unit. Its electronic total energy is -4.699 eV per atom. The energy above the most stable polymorph in this dataset comes out at 0 meV/atom.

The space group is F-43m (No. 216) and the conventional cell measures 5.7526, 5.7526 and 5.7526 Å, with angles of 90.00, 90.00 and 90.00 degrees. The asymmetric unit holds Ga at (0.0000, 0.0000, 0.0000), Ni at (0.2500, 0.2500, 0.7500) and As at (0.0000, 0.0000, 0.5000).

The following is a PBE-GGA calculation of TbGaNi2As after structural relaxation, from the Open Quantum Materials Database.

The calculated volume comes out at 165.48 Å³ per cell. The magnetization comes out at 0.01 μB per formula unit. Its electronic total energy is -5.324 eV per atom. The energy above the most stable polymorph in this dataset comes out at 154 meV/atom.

The space group is P4/nmm (No. 129, origin choice 2) and the conventional cell measures 4.2289, 4.2289 and 9.2535 Å, with angles of 90.00, 90.00 and 90.00 degrees. The asymmetric unit holds Tb at (0.2500, 0.2500, 0.2489), Ga at (0.2500, 0.2500, 0.8755), Ni at (0.2500, 0.2500, 0.6167), Ni at (0.2500, 0.7500, 0.0000) and As at (0.2500, 0.7500, 0.5000).

The following is a PBE-GGA calculation of TbGaNi2As after structural relaxation, from the Open Quantum Materials Database.

The calculated volume comes out at 160.81 Å³ per cell. The magnetization comes out at 0.00 μB per formula unit. Its electronic total energy is -5.478 eV per atom. The energy above the most stable polymorph in this dataset comes out at 0 meV/atom.

The space group is P4/nmm (No. 129, origin choice 2) and the conventional cell measures 4.0472, 4.0472 and 9.8176 Å, with angles of 90.00, 90.00 and 90.00 degrees. The asymmetric unit holds Tb at (0.2500, 0.2500, 0.2452), Ga at (0.2500, 0.7500, 0.5000), Ni at (0.2500, 0.2500, 0.6341), Ni at (0.2500, 0.7500, 0.0000) and As at (0.2500, 0.2500, 0.8667).